<a>
# HfCuRh, optimized geometry, DFT PBE-GGA
data_HfCuRh
_cell_length_a 4.505
_cell_length_b 5.207
_cell_length_c 5.207
_cell_angle_alpha 93.98
_cell_angle_beta 64.37
_cell_angle_gamma 64.37
_space_group_name_H-M_alt 'P 1'
_space_group_IT_number 1
_space_group_name_Hall 'P 1'
loop_
_atom_site_label
_atom_site_type_symbol
_atom_site_fract_x
_atom_site_fract_y
_atom_site_fract_z
Hf1 Hf 0.000 0.191 0.809
Hf2 Hf 0.000 0.809 0.191
Cu1 Cu 0.500 0.351 0.649
Cu2 Cu 0.500 0.649 0.351
Rh1 Rh 0.746 0.754 0.754
Rh2 Rh 0.254 0.246 0.246
# SG	Immm
# calculated volume	15.70	A^3/atom
# total magnetic moment	0.0	Bohr magnetons per cell



<b>
# HfCuRh, optimized geometry, DFT PBE-GGA
data_HfCuRh
_cell_length_a 2.990
_cell_length_b 4.319
_cell_length_c 4.319
_cell_angle_alpha 120.00
_cell_angle_beta 90.00
_cell_angle_gamma 90.00
_space_group_name_H-M_alt 'P 1'
_space_group_IT_number 1
_space_group_name_Hall 'P 1'
loop_
_atom_site_label
_atom_site_type_symbol
_atom_site_fract_x
_atom_site_fract_y
_atom_site_fract_z
Hf1 Hf 0.664 0.667 0.333
Cu1 Cu 0.159 0.000 0.000
Rh1 Rh 0.177 0.333 0.667
# SG	P3m1
# calculated volume	16.10	A^3/atom
# total magnetic moment	0.0	Bohr magnetons per cell



<c>
# HfCuRh, optimized geometry, DFT PBE-GGA
data_HfCuRh
_cell_length_a 3.428
_cell_length_b 5.261
_cell_length_c 6.299
_cell_angle_alpha 114.68
_cell_angle_beta 105.79
_cell_angle_gamma 90.00
_space_group_name_H-M_alt 'P 1'
_space_group_IT_number 1
_space_group_name_Hall 'P 1'
loop_
_atom_site_label
_atom_site_type_symbol
_atom_site_fract_x
_atom_site_fract_y
_atom_site_fract_z
Cu1 Cu 0.500 0.234 0.000
Cu2 Cu 0.500 0.766 0.000
Hf1 Hf 0.814 0.814 0.627
Hf2 Hf 0.186 0.186 0.373
Rh1 Rh 0.129 0.629 0.258
Rh2 Rh 0.871 0.371 0.742
# SG	Immm
# calculated volume	16.41	A^3/atom
# total magnetic moment	0.0	Bohr magnetons per cell



Short version: <c>, <a>, <b>, most stable first.



<a>
# Hf3CuRh, optimized geometry, DFT PBE-GGA
data_Hf3CuRh
_cell_length_a 5.886
_cell_length_b 5.886
_cell_length_c 7.480
_cell_angle_alpha 66.83
_cell_angle_beta 66.83
_cell_angle_gamma 60.00
_space_group_name_H-M_alt 'P 1'
_space_group_IT_number 1
_space_group_name_Hall 'P 1'
loop_
_atom_site_label
_atom_site_type_symbol
_atom_site_fract_x
_atom_site_fract_y
_atom_site_fract_z
Rh1 Rh 0.187 0.187 0.439
Rh2 Rh 0.813 0.813 0.561
Cu1 Cu 0.685 0.685 0.944
Cu2 Cu 0.315 0.315 0.056
Hf1 Hf 0.164 0.750 0.745
Hf2 Hf 0.836 0.658 0.255
Hf3 Hf 0.342 0.164 0.745
Hf4 Hf 0.750 0.342 0.745
Hf5 Hf 0.658 0.250 0.255
Hf6 Hf 0.250 0.836 0.255
# SG	R32
# calculated volume	19.99	A^3/atom
# total magnetic moment	0.0	Bohr magnetons per cell



<b>
# Hf3CuRh, optimized geometry, DFT PBE-GGA
data_Hf3CuRh
_cell_length_a 4.947
_cell_length_b 4.947
_cell_length_c 4.947
_cell_angle_alpha 90.00
_cell_angle_beta 90.00
_cell_angle_gamma 90.00
_space_group_name_H-M_alt 'P 1'
_space_group_IT_number 1
_space_group_name_Hall 'P 1'
loop_
_atom_site_label
_atom_site_type_symbol
_atom_site_fract_x
_atom_site_fract_y
_atom_site_fract_z
Hf1 Hf 0.000 0.000 0.500
Hf2 Hf 0.000 0.500 0.000
Hf3 Hf 0.500 0.000 0.000
Cu1 Cu 0.500 0.500 0.500
Rh1 Rh 0.000 0.000 0.000
# SG	Pm-3m
# calculated volume	24.22	A^3/atom
# total magnetic moment	0.0	Bohr magnetons per cell



Short version: <a>, <b>, most stable first.



<a>
# Hf2Cu2Rh, optimized geometry, DFT PBE-GGA
data_Hf2Cu2Rh
_cell_length_a 6.936
_cell_length_b 6.936
_cell_length_c 3.369
_cell_angle_alpha 90.00
_cell_angle_beta 90.00
_cell_angle_gamma 90.00
_space_group_name_H-M_alt 'P 1'
_space_group_IT_number 1
_space_group_name_Hall 'P 1'
loop_
_atom_site_label
_atom_site_type_symbol
_atom_site_fract_x
_atom_site_fract_y
_atom_site_fract_z
Hf1 Hf 0.180 0.680 0.500
Hf2 Hf 0.820 0.320 0.500
Hf3 Hf 0.320 0.180 0.500
Hf4 Hf 0.680 0.820 0.500
Cu1 Cu 0.122 0.378 0.000
Cu2 Cu 0.378 0.878 0.000
Cu3 Cu 0.878 0.622 0.000
Cu4 Cu 0.622 0.122 0.000
Rh1 Rh 0.500 0.500 0.000
Rh2 Rh 0.000 0.000 0.000
# SG	P4/mbm
# calculated volume	16.21	A^3/atom
# total magnetic moment	0.0	Bohr magnetons per cell



<b>
# Hf2Cu2Rh, optimized geometry, DFT PBE-GGA
data_Hf2Cu2Rh
_cell_length_a 4.162
_cell_length_b 4.162
_cell_length_c 6.145
_cell_angle_alpha 90.00
_cell_angle_beta 109.72
_cell_angle_gamma 120.12
_space_group_name_H-M_alt 'P 1'
_space_group_IT_number 1
_space_group_name_Hall 'P 1'
loop_
_atom_site_label
_atom_site_type_symbol
_atom_site_fract_x
_atom_site_fract_y
_atom_site_fract_z
Cu1 Cu 0.678 0.839 0.517
Cu2 Cu 0.322 0.161 0.483
Hf1 Hf 0.814 0.407 0.221
Hf2 Hf 0.186 0.593 0.779
Rh1 Rh 0.000 0.000 0.000
# SG	C2/m
# calculated volume	16.96	A^3/atom
# total magnetic moment	0.0	Bohr magnetons per cell



Short version: <b>, <a>, most stable first.